No. 1
Compound: Tb7Er12Bi
Source: Alexandria
Functional: PBE-GGA
Structure: optimized geometry

Summary:
VASP energy	-4.53	eV per atom

Lattice parameters (Å, degrees): 9.4248 8.6405 8.8032 98.01 64.62 82.83
Closest atoms and distances in Å follow each position.
Fractional positions:
Tb (0.4806, 0.7849, 0.2064)  3 Tb 3.28-3.60, 4 Er 3.28-3.59
Tb (0.5194, 0.2151, 0.7936)  3 Tb 3.28-3.60, 4 Er 3.28-3.59
Tb (0.8619, 0.6733, 0.1027)  3 Tb 3.28-3.63, 1 Bi 3.33, 5 Er 3.44-3.65
Tb (0.2399, 0.0789, 0.1515)  1 Bi 3.17, 4 Er 3.36-3.54, 1 Tb 3.42
Tb (0.7601, 0.9211, 0.8485)  1 Bi 3.17, 4 Er 3.36-3.54, 1 Tb 3.42
Tb (0.5000, 0.5000, 0.5000)  4 Er 3.11-3.37
Tb (0.1381, 0.3267, 0.8973)  3 Tb 3.28-3.63, 1 Bi 3.33, 5 Er 3.44-3.65
Er (0.7092, 0.3079, 0.0842)  1 Bi 3.32, 4 Tb 3.37-3.69, 5 Er 3.42-3.71
Er (0.9223, 0.4352, 0.3612)  7 Er 3.41-3.65, 4 Tb 3.44-3.64
Er (0.2439, 0.9010, 0.6219)  1 Bi 3.04, 2 Er 3.28-3.36, 1 Tb 3.28
Er (0.3149, 0.4651, 0.1963)  3 Tb 3.35-3.50, 6 Er 3.39-3.53
Er (0.9634, 0.1885, 0.6186)  8 Er 3.39-3.66, 4 Tb 3.49-3.75
Er (0.7561, 0.0990, 0.3781)  1 Bi 3.04, 2 Er 3.28-3.36, 1 Tb 3.28
Er (0.0366, 0.8115, 0.3814)  8 Er 3.39-3.66, 4 Tb 3.49-3.75
Er (0.6851, 0.5349, 0.8037)  3 Tb 3.35-3.50, 6 Er 3.39-3.53
Er (0.3766, 0.1920, 0.4365)  2 Tb 3.11-3.36, 2 Er 3.28-3.36
Er (0.2908, 0.6921, 0.9158)  1 Bi 3.32, 4 Tb 3.37-3.69, 5 Er 3.42-3.71
Er (0.6234, 0.8080, 0.5635)  2 Tb 3.11-3.36, 2 Er 3.28-3.36
Er (0.0777, 0.5648, 0.6388)  7 Er 3.41-3.65, 4 Tb 3.44-3.64
Bi (0.0000, 0.0000, 0.0000)  4 Er 3.04-3.32, 4 Tb 3.17-3.33

=====

No. 2
Compound: La2PaNi9
Source: Alexandria
Functional: PBE-GGA
Structure: optimized geometry

Summary:
VASP energy	-6.29	eV per atom

Lattice parameters (Å, degrees): 4.9572 4.9572 8.9165 73.86 73.86 60.00
Closest atoms and distances in Å follow each position.
Fractional positions:
La (0.8622, 0.8622, 0.4134)  9 Ni 2.89-2.95, 3 La 3.21
La (0.1378, 0.1378, 0.5866)  9 Ni 2.89-2.95, 3 La 3.21
Ni (0.6670, 0.6670, 0.9989)  6 Ni 2.45-2.46
Ni (0.0799, 0.5783, 0.7634)  7 Ni 2.45-2.64
Ni (0.5000, 0.5000, 0.5000)  6 Ni 2.64, 6 La 2.95
Ni (0.9201, 0.4217, 0.2366)  7 Ni 2.45-2.64
Ni (0.5783, 0.0799, 0.7634)  7 Ni 2.45-2.64
Ni (0.4217, 0.9201, 0.2366)  7 Ni 2.45-2.64
Ni (0.5783, 0.5783, 0.7634)  7 Ni 2.45-2.64
Ni (0.3330, 0.3330, 0.0011)  6 Ni 2.45-2.46
Ni (0.4217, 0.4217, 0.2366)  7 Ni 2.45-2.64
Pa (0.0000, 0.0000, 0.0000)  18 Ni 2.86-3.18

=====

No. 3
Compound: Pr2DyErTe6
Source: Alexandria
Functional: PBE-GGA
Structure: optimized geometry

Summary:
energy relative to the elements, uncorrected	-1.3670	eV per atom

Lattice parameters (Å, degrees): 7.8628 7.8629 8.3938 62.07 62.07 60.00
Closest atoms and distances in Å follow each position.
Fractional positions:
Te (0.0937, 0.4377, 0.7567)  1 Er 3.05, 1 Dy 3.10, 2 Pr 3.18-3.24
Te (0.7120, 0.0936, 0.7567)  1 Er 3.05, 1 Dy 3.10, 2 Pr 3.18-3.24
Te (0.9369, 0.5946, 0.2593)  1 Dy 3.07, 1 Er 3.08, 2 Pr 3.18-3.24
Te (0.2092, 0.9369, 0.2593)  1 Dy 3.07, 1 Er 3.08, 2 Pr 3.18-3.24
Te (0.5946, 0.2092, 0.2593)  1 Dy 3.07, 1 Er 3.08, 2 Pr 3.18-3.24
Te (0.4376, 0.7120, 0.7567)  1 Er 3.05, 1 Dy 3.10, 2 Pr 3.18-3.24
Dy (0.3238, 0.3238, 0.0285)  6 Te 3.07-3.10
Pr (0.0149, 0.0149, 0.9554)  6 Te 3.18-3.24
Pr (0.5153, 0.5153, 0.4542)  6 Te 3.18-3.24
Er (0.8236, 0.8237, 0.5290)  6 Te 3.05-3.08

=====

no.,magnetization (μB per formula unit)
1,0.000
2,0.000
3,0.000